No. 1
# PBE Pm3Mg3Cd, relaxed
# calculated formation energy: -0.023 eV per atom
# energy: -80.443 eV for the cell shown
# volume: 29.60 Å³ per atom
data_Pm3Mg3Cd
_chemical_formula_sum 'Pm12 Mg12 Cd4'
_space_group_name_H-M_alt 'C 1 2/m 1'
_space_group_IT_number 12
_cell_length_a 10.937
_cell_length_b 10.730
_cell_length_c 7.063
_cell_angle_alpha 90.00
_cell_angle_beta 90.00
_cell_angle_gamma 90.00
loop_
_space_group_symop_operation_xyz
'x,y,z'
'-x,-y,-z'
'-x,y,-z'
'x,-y,z'
'x+1/2,y+1/2,z'
'-x+1/2,-y+1/2,-z'
'-x+1/2,y+1/2,-z'
'x+1/2,-y+1/2,z'
loop_
_atom_site_label
_atom_site_type_symbol
_atom_site_fract_x
_atom_site_fract_y
_atom_site_fract_z
_atom_site_occupancy
Pm1 Pm 0.000 0.000 0.249 1
Pm2 Pm 0.250 0.250 0.253 1
Mg1 Mg 0.000 0.292 0.000 1
Mg2 Mg 0.000 0.331 0.500 1
Mg3 Mg 0.213 0.500 0.999 1
Cd1 Cd 0.230 0.500 0.500 1

***

No. 2
# PBE Pm3Mg2Cd8, relaxed
# calculated formation energy: 0.004 eV per atom
# energy: -74.144 eV for the cell shown
# volume: 28.23 Å³ per atom
data_Pm3Mg2Cd8
_chemical_formula_sum 'Pm9 Mg6 Cd24'
_space_group_name_H-M_alt 'R -3 m'
_space_group_IT_number 166
_space_group_name_Hall '-R 3 2"'
_cell_length_a 6.1182
_cell_length_b 6.1182
_cell_length_c 33.9563
_cell_angle_alpha 90.00
_cell_angle_beta 90.00
_cell_angle_gamma 120.00
loop_
_atom_site_label
_atom_site_type_symbol
_atom_site_fract_x
_atom_site_fract_y
_atom_site_fract_z
_atom_site_occupancy
Pm1 Pm 0.0000 0.0000 0.0000 1
Pm2 Pm 0.0000 0.0000 0.2258 1
Mg1 Mg 0.0000 0.0000 0.3983 1
Cd1 Cd 0.0000 0.0000 0.3169 1
Cd2 Cd 0.0135 0.5068 0.7983 1